Record 1
# CsErTa6Cl18 | Alexandria via LeMat-Bulk | meta-GGA SCAN | PBEsol geometry
data_CsErTa6Cl18
_cell_length_a 9.1820
_cell_length_b 9.1820
_cell_length_c 17.0782
_cell_angle_alpha 90.00
_cell_angle_beta 90.00
_cell_angle_gamma 120.00
_space_group_name_H-M_alt 'P -3 1 c'
_space_group_IT_number 163
_space_group_name_Hall '-P 3 2c'
loop_
_atom_site_label
_atom_site_type_symbol
_atom_site_fract_x
_atom_site_fract_y
_atom_site_fract_z
Cs1 Cs 0.3333 0.6667 0.2500
Er1 Er 0.3333 0.6667 0.7500
Ta1 Ta 0.0412 0.1968 0.9318
Cl1 Cl 0.0485 0.2365 0.1620
Cl2 Cl 0.0886 0.4484 0.8385
Cl3 Cl 0.1390 0.4205 0.4991
# crystal system: trigonal
# formation energy from raw total energies: -1661 meV per atom
# total magnetic moment: 0.00 μB per cell



Record 2
# Rb2NaWO | Alexandria via LeMat-Bulk | meta-GGA SCAN | PBEsol geometry
data_Rb2NaWO
_cell_length_a 6.354
_cell_length_b 6.354
_cell_length_c 4.024
_cell_angle_alpha 90.00
_cell_angle_beta 90.00
_cell_angle_gamma 90.00
_space_group_name_H-M_alt 'P 4/m m m'
_space_group_IT_number 123
_space_group_name_Hall '-P 4 2'
loop_
_atom_site_label
_atom_site_type_symbol
_atom_site_fract_x
_atom_site_fract_y
_atom_site_fract_z
Rb1 Rb 0.000 0.500 0.000
Na1 Na 0.000 0.000 0.000
W1 W 0.500 0.500 0.500
O1 O 0.000 0.000 0.500
# crystal system: tetragonal
# formation energy from raw total energies: 892 meV per atom
# total magnetic moment: 5.01 μB per cell



Record 3
# LiMo3 | Alexandria via LeMat-Bulk | meta-GGA SCAN | PBEsol geometry
data_LiMo3
_cell_length_a 3.857
_cell_length_b 3.857
_cell_length_c 3.857
_cell_angle_alpha 90.00
_cell_angle_beta 90.00
_cell_angle_gamma 90.00
_space_group_name_H-M_alt 'P m -3 m'
_space_group_IT_number 221
_space_group_name_Hall '-P 4 2 3'
loop_
_atom_site_label
_atom_site_type_symbol
_atom_site_fract_x
_atom_site_fract_y
_atom_site_fract_z
Li1 Li 0.000 0.000 0.000
Mo1 Mo 0.000 0.500 0.500
# crystal system: cubic
# total magnetic moment: 0.00 μB per cell
# formation energy: 0.436 eV/atom



Record 4
# NaBiTe2 | Alexandria via LeMat-Bulk | meta-GGA SCAN | PBEsol geometry
data_NaBiTe2
_cell_length_a 4.4339
_cell_length_b 4.4339
_cell_length_c 22.6024
_cell_angle_alpha 90.00
_cell_angle_beta 90.00
_cell_angle_gamma 120.00
_space_group_name_H-M_alt 'R -3 m'
_space_group_IT_number 166
_space_group_name_Hall '-R 3 2"'
loop_
_atom_site_label
_atom_site_type_symbol
_atom_site_fract_x
_atom_site_fract_y
_atom_site_fract_z
Na1 Na 0.0000 0.0000 0.0000
Bi1 Bi 0.0000 0.0000 0.5000
Te1 Te 0.0000 0.0000 0.2461
# crystal system: trigonal
# formation energy from raw total energies: -555 meV per atom
# total magnetic moment: 0.00 μB per cell



Record 5
# CrSiAu3 | Alexandria via LeMat-Bulk | meta-GGA SCAN | PBEsol geometry
data_CrSiAu3
_cell_length_a 4.796
_cell_length_b 4.796
_cell_length_c 4.796
_cell_angle_alpha 90.00
_cell_angle_beta 90.00
_cell_angle_gamma 90.00
_space_group_name_H-M_alt 'P m -3 m'
_space_group_IT_number 221
_space_group_name_Hall '-P 4 2 3'
loop_
_atom_site_label
_atom_site_type_symbol
_atom_site_fract_x
_atom_site_fract_y
_atom_site_fract_z
Cr1 Cr 0.000 0.000 0.000
Si1 Si 0.500 0.500 0.500
Au1 Au 0.000 0.000 0.500
# crystal system: cubic
# formation energy from raw total energies: 1057 meV per atom
# total magnetic moment: 4.02 μB per cell



Record 6
# K2ReAg | Alexandria via LeMat-Bulk | meta-GGA SCAN | PBEsol geometry
data_K2ReAg
_cell_length_a 2.751
_cell_length_b 5.254
_cell_length_c 11.574
_cell_angle_alpha 90.00
_cell_angle_beta 90.00
_cell_angle_gamma 90.00
_space_group_name_H-M_alt 'I m m m'
_space_group_IT_number 71
_space_group_name_Hall '-I 2 2'
loop_
_atom_site_label
_atom_site_type_symbol
_atom_site_fract_x
_atom_site_fract_y
_atom_site_fract_z
K1 K 0.000 0.000 0.236
Re1 Re 0.000 0.500 0.000
Ag1 Ag 0.000 0.500 0.500
# crystal system: orthorhombic
# total magnetic moment: 1.65 μB per cell
# formation energy: 1.239 eV/atom



Record 7
# Zr2CdAg | Alexandria via LeMat-Bulk | meta-GGA SCAN | PBEsol geometry
data_Zr2CdAg
_cell_length_a 4.239
_cell_length_b 4.239
_cell_length_c 8.731
_cell_angle_alpha 90.00
_cell_angle_beta 90.00
_cell_angle_gamma 90.00
_space_group_name_H-M_alt 'I 4/m m m'
_space_group_IT_number 139
_space_group_name_Hall '-I 4 2'
loop_
_atom_site_label
_atom_site_type_symbol
_atom_site_fract_x
_atom_site_fract_y
_atom_site_fract_z
Zr1 Zr 0.000 0.500 0.250
Cd1 Cd 0.000 0.000 0.000
Ag1 Ag 0.000 0.000 0.500
# crystal system: tetragonal
# total magnetic moment: 0.00 μB per cell
# formation energy: -0.109 eV/atom



Record 8
# Cs2HgBiCl6 | Alexandria via LeMat-Bulk | meta-GGA SCAN | PBEsol geometry
data_Cs2HgBiCl6
_cell_length_a 10.958
_cell_length_b 10.958
_cell_length_c 10.958
_cell_angle_alpha 90.00
_cell_angle_beta 90.00
_cell_angle_gamma 90.00
_space_group_name_H-M_alt 'F m -3 m'
_space_group_IT_number 225
_space_group_name_Hall '-F 4 2 3'
loop_
_atom_site_label
_atom_site_type_symbol
_atom_site_fract_x
_atom_site_fract_y
_atom_site_fract_z
Cs1 Cs 0.250 0.250 0.250
Hg1 Hg 0.000 0.000 0.000
Bi1 Bi 0.000 0.000 0.500
Cl1 Cl 0.000 0.000 0.254
# crystal system: cubic
# formation energy from raw total energies: -1386 meV per atom
# total magnetic moment: 0.00 μB per cell



Record 9
# ScRe2Ir | Alexandria via LeMat-Bulk | meta-GGA SCAN | PBEsol geometry
data_ScRe2Ir
_cell_length_a 2.739
_cell_length_b 4.271
_cell_length_c 5.365
_cell_angle_alpha 90.00
_cell_angle_beta 103.58
_cell_angle_gamma 90.00
_space_group_name_H-M_alt 'P 1 m 1'
_space_group_IT_number 6
_space_group_name_Hall 'P -2y'
loop_
_atom_site_label
_atom_site_type_symbol
_atom_site_fract_x
_atom_site_fract_y
_atom_site_fract_z
Sc1 Sc 0.000 0.000 0.000
Re1 Re 0.161 0.500 0.726
Re2 Re 0.421 0.000 0.517
Ir1 Ir 0.771 0.500 0.217
# crystal system: monoclinic
# total magnetic moment: 0.00 μB per cell
# formation energy: -0.148 eV/atom



Record 10
# CdFe2O | Alexandria via LeMat-Bulk | meta-GGA SCAN | PBEsol geometry
data_CdFe2O
_cell_length_a 5.904
_cell_length_b 5.904
_cell_length_c 5.904
_cell_angle_alpha 90.00
_cell_angle_beta 90.00
_cell_angle_gamma 90.00
_space_group_name_H-M_alt 'F m -3 m'
_space_group_IT_number 225
_space_group_name_Hall '-F 4 2 3'
loop_
_atom_site_label
_atom_site_type_symbol
_atom_site_fract_x
_atom_site_fract_y
_atom_site_fract_z
Cd1 Cd 0.000 0.000 0.000
Fe1 Fe 0.250 0.250 0.250
O1 O 0.000 0.000 0.500
# crystal system: cubic
# formation energy from raw total energies: 492 meV per atom
# total magnetic moment: 23.63 μB per cell



Record 11
# Cu6Pt5 | Alexandria via LeMat-Bulk | meta-GGA SCAN | PBEsol geometry
data_Cu6Pt5
_cell_length_a 4.548
_cell_length_b 5.942
_cell_length_c 5.987
_cell_angle_alpha 107.70
_cell_angle_beta 105.10
_cell_angle_gamma 97.74
_space_group_name_H-M_alt 'P 1'
_space_group_IT_number 1
_space_group_name_Hall 'P 1'
loop_
_atom_site_label
_atom_site_type_symbol
_atom_site_fract_x
_atom_site_fract_y
_atom_site_fract_z
Cu1 Cu 0.000 0.000 0.000
Cu2 Cu 0.088 0.821 0.360
Cu3 Cu 0.358 0.271 0.449
Cu4 Cu 0.726 0.547 0.908
Cu5 Cu 0.815 0.362 0.270
Cu6 Cu 0.907 0.184 0.631
Pt1 Pt 0.175 0.625 0.718
Pt2 Pt 0.260 0.450 0.090
Pt3 Pt 0.455 0.098 0.812
Pt4 Pt 0.551 0.919 0.186
Pt5 Pt 0.640 0.728 0.543
# crystal system: triclinic
# total magnetic moment: 0.00 μB per cell
# formation energy: -0.133 eV/atom



Record 12
# TeW3Br | Alexandria via LeMat-Bulk | meta-GGA SCAN | PBEsol geometry
data_TeW3Br
_cell_length_a 4.903
_cell_length_b 4.903
_cell_length_c 4.903
_cell_angle_alpha 90.00
_cell_angle_beta 90.00
_cell_angle_gamma 90.00
_space_group_name_H-M_alt 'P m -3 m'
_space_group_IT_number 221
_space_group_name_Hall '-P 4 2 3'
loop_
_atom_site_label
_atom_site_type_symbol
_atom_site_fract_x
_atom_site_fract_y
_atom_site_fract_z
Te1 Te 0.000 0.000 0.000
W1 W 0.000 0.000 0.500
Br1 Br 0.500 0.500 0.500
# crystal system: cubic
# formation energy from raw total energies: 3025 meV per atom
# total magnetic moment: 0.00 μB per cell